(1)
Sm4Ho3Tm8, relaxed, DFT GGA-PBE; crystal system = monoclinic; energy relative to the lowest polymorph listed for this composition = 258 meV per atom; symmetry = C2/m
1.0
6.6319 -6.4030 0.0000
6.6319 6.4030 0.0000
-3.3415 0.0000 5.7753
Sm Ho Tm
4 3 8
Direct
0.0000 0.0000 0.0000
0.0000 0.0000 0.5000
0.0000 0.5000 0.0000
0.5000 0.0000 0.0000
0.0000 0.5000 0.5000
0.5000 0.0000 0.5000
0.5000 0.5000 0.0000
0.2540 0.7460 0.0000
0.2670 0.2670 0.5100
0.2686 0.2686 0.0321
0.3633 0.6367 0.5000
0.6367 0.3633 0.5000
0.7314 0.7314 0.9679
0.7330 0.7330 0.4900
0.7460 0.2540 0.0000

---

(2)
Sm5HoTm12, relaxed, DFT GGA-PBE; crystal system = monoclinic; symmetry = C2/m
1.0
9.1613 -5.2816 0.0000
9.1613 5.2816 0.0000
-2.0195 0.0000 5.7679
Sm Ho Tm
5 1 12
Direct
0.0000 0.0000 0.0000
0.1667 0.1667 0.5005
0.3338 0.3338 0.0006
0.6662 0.6662 0.9994
0.8333 0.8333 0.4995
0.5000 0.5000 0.5000
0.0015 0.6653 0.9995
0.1667 0.5011 0.5005
0.1686 0.8314 0.5000
0.3330 0.6670 0.0000
0.3347 0.9985 0.0005
0.4989 0.8333 0.4995
0.5011 0.1667 0.5005
0.6653 0.0015 0.9995
0.6670 0.3330 0.0000
0.8314 0.1686 0.5000
0.8333 0.4989 0.4995
0.9985 0.3347 0.0005

---

Spin magnetization, respectively: 0.00; 0.00 μB/f.u..
VASP energy, respectively: -4.172; -4.523 eV per atom.